P:
Here is a geometry-optimized Pa3Ni2Ge4 structure from the Alexandria database. Energies are from PBE-GGA.

```
Pa3Ni2Ge4
1.0
5.282 -2.111 0.000
5.282 2.111 0.000
-3.270 0.000 7.603
Pa Ni Ge
3 2 4
direct
0.000 0.000 0.000
0.379 0.379 0.333
0.621 0.621 0.667
0.325 0.325 0.678
0.675 0.675 0.322
0.106 0.106 0.398
0.281 0.281 0.936
0.719 0.719 0.064
0.894 0.894 0.602
```

Calculated values
- DOS at the Fermi energy: 11.22 states/eV/cell
- Total magnetization: 0.09 μB per formula unit

---

Q:
Here is a geometry-optimized Pa3Ni2Ge4 structure from the Alexandria database. Energies are from PBE-GGA.

```
Pa3Ni2Ge4
1.0
5.285 -2.076 0.000
5.285 2.076 0.000
-1.745 0.000 7.884
Pa Ni Ge
3 2 4
direct
0.000 0.000 0.000
0.335 0.335 0.335
0.665 0.665 0.665
0.382 0.382 0.703
0.618 0.618 0.297
0.060 0.060 0.383
0.285 0.285 0.936
0.715 0.715 0.064
0.940 0.940 0.617
```

Calculated values
- DOS at the Fermi energy: 8.21 states/eV/cell
- Total magnetization: 0.00 μB per formula unit

---

What should be chosen as the most stable of them? Choose Q.

---

P:
Here is a geometry-optimized PaNi3Ge structure from the Alexandria database. Energies are from PBE-GGA.

```
PaNi3Ge
1.0
2.713 -5.814 0.000
2.713 5.814 0.000
0.000 0.000 4.671
Pa Ni Ge
2 6 2
direct
0.082 0.918 0.750
0.918 0.082 0.250
0.097 0.401 0.750
0.401 0.097 0.250
0.500 0.500 0.000
0.500 0.500 0.500
0.599 0.903 0.750
0.903 0.599 0.250
0.316 0.684 0.250
0.684 0.316 0.750
```

Calculated values
- DOS at the Fermi energy: 8.93 states/eV/cell
- Total magnetization: 0.00 μB per formula unit

---

Q:
Here is a geometry-optimized PaNi3Ge structure from the Alexandria database. Energies are from PBE-GGA.

```
PaNi3Ge
1.0
1.970 -11.176 0.000
1.970 11.176 0.000
0.000 0.000 3.638
Pa Ni Ge
2 6 2
direct
0.174 0.826 0.000
0.826 0.174 0.000
0.054 0.946 0.500
0.282 0.718 0.500
0.449 0.551 0.000
0.551 0.449 0.000
0.718 0.282 0.500
0.946 0.054 0.500
0.389 0.611 0.500
0.611 0.389 0.500
```

Calculated values
- DOS at the Fermi energy: 11.68 states/eV/cell
- Total magnetization: 0.00 μB per formula unit

---

What should be chosen as the most stable of them? Choose P.